[1]
Here is a crystal of Zr2FeCo relaxed with PBEsol from Alexandria. Energies are from meta-GGA SCAN.

```
Zr2FeCo
1.0
-1.449 1.366 3.958
-2.951 -2.432 2.239
1.233 -2.150 3.673
Zr Co Fe
2 1 1
Cartesian
-0.792 -0.804 2.468
-2.375 -2.412 7.403
0.000 0.000 0.000
-1.583 -1.608 4.935
```

Output
DFT formation energy   -0.292 eV per atom
Excess energy over the best structure of this formula in the dataset   0.000 kcal/mol of atoms
Magnetization   0.336 μB/atom

[2]
Here is a crystal of Y2NbZnSi relaxed with PBEsol from Alexandria. Energies are from meta-GGA SCAN.

```
Y2NbZnSi
1.0
4.842 0.000 0.000
0.000 5.288 0.000
0.000 0.000 5.288
Nb Zn Y Si
1 1 2 1
Cartesian
0.000 0.000 0.000
2.421 2.644 2.644
0.000 0.000 2.644
0.000 2.644 0.000
2.421 0.000 0.000
```

Output
Magnetization   0.000 μB/atom
Raw formation energy   545 meV per atom

[3]
Here is a crystal of SrInCo relaxed with PBEsol from Alexandria. Energies are from meta-GGA SCAN.

```
SrInCo
1.0
-3.143 1.282 -0.644
0.567 -0.316 -3.394
-0.859 -5.682 2.145
Sr In Co
1 1 1
Cartesian
-1.968 -1.162 -1.979
-1.619 -3.920 0.095
-3.284 -4.349 -1.902
```

Output
DFT formation energy   0.035 eV per atom
Magnetization   0.495 μB/atom

[4]
Here is a crystal of SrLa2Tl2 relaxed with PBEsol from Alexandria. Energies are from meta-GGA SCAN.

```
SrLa2Tl2
1.0
4.061 0.000 0.000
0.000 9.037 0.000
0.000 0.000 9.037
Tl La Sr
4 4 2
Cartesian
0.000 5.686 1.167
0.000 7.870 5.686
0.000 1.167 3.352
0.000 3.352 7.870
2.031 6.028 7.528
2.031 7.528 3.009
2.031 3.009 1.510
2.031 1.510 6.028
0.000 4.519 4.519
0.000 0.000 0.000
```

Output
DFT formation energy   -0.526 eV per atom
Magnetization   0.000 μB/atom

[5]
Here is a crystal of ScSnPt relaxed with PBEsol from Alexandria. Energies are from meta-GGA SCAN.

```
ScSnPt
1.0
-1.993 1.573 2.607
-0.466 -6.450 3.535
5.558 4.612 1.466
Sn Sc Pt
3 3 3
Cartesian
0.388 0.287 2.664
-1.336 -3.910 3.877
3.050 4.145 2.371
3.085 -1.113 3.030
-0.184 -2.542 1.393
2.190 1.818 0.578
2.553 1.711 3.460
0.000 0.000 0.000
0.545 -1.976 4.149
```

Output
DFT formation energy   -1.201 eV per atom
Magnetization   0.000 μB/atom

[6]
Here is a crystal of ScI2 relaxed with PBEsol from Alexandria. Energies are from meta-GGA SCAN.

```
ScI2
1.0
3.920 0.000 0.000
0.000 7.130 0.000
0.000 0.000 7.130
I Sc
4 2
Cartesian
0.000 5.055 5.055
0.000 2.075 2.075
1.960 1.490 5.641
1.960 5.641 1.490
0.000 0.000 0.000
1.960 3.565 3.565
```

Output
Magnetization   0.326 μB/atom
Raw formation energy   -1098 meV per atom

no.,volume (Å³/atom)
1,15.379
2,27.084
3,22.388
4,33.167
5,19.022
6,33.220